[1]
CuAg (PBE, optimized geometry); space-group type = R3m; energy of formation = 0.09 eV/atom; crystal system = trigonal; calculated total energy = -3.1770 eV per atom
1.0
-15.0153 -14.4306 -6.9680
-14.5248 -15.8248 -4.5673
-16.4607 -13.7765 -4.6376
Ag Cu
5 5
direct
0.0982 0.0982 0.0982 Ag
0.1943 0.1943 0.1943 Ag
0.3067 0.3067 0.3067 Ag
0.6026 0.6026 0.6026 Ag
0.8985 0.8985 0.8985 Ag
0.0066 0.0066 0.0066 Cu
0.3982 0.3982 0.3982 Cu
0.4942 0.4942 0.4942 Cu
0.7024 0.7024 0.7024 Cu
0.7984 0.7984 0.7984 Cu

=====

[2]
Cu7Ag2 (PBE, optimized geometry); space-group type = C2/m; energy of formation = 0.08 eV/atom; crystal system = monoclinic; calculated total energy = -3.4422 eV per atom
1.0
0.4888 5.4427 1.9611
-1.2407 4.3250 3.6691
6.1054 -3.8891 3.6374
Ag Cu
2 7
direct
0.8380 0.8380 0.1243 Ag
0.1619 0.1619 0.8757 Ag
0.5000 0.5000 0.0000 Cu
0.1576 0.1576 0.2295 Cu
0.5075 0.5075 0.3495 Cu
0.8293 0.8293 0.4469 Cu
0.1707 0.1707 0.5531 Cu
0.4925 0.4925 0.6505 Cu
0.8424 0.8424 0.7705 Cu

=====

[3]
CuAg (PBE, optimized geometry); space-group type = Cm; energy of formation = 0.07 eV/atom; crystal system = monoclinic; calculated total energy = -3.1972 eV per atom
1.0
-4.8102 -0.6795 -0.8656
-4.0752 -2.5177 1.1843
-1.1478 8.0632 7.6421
Ag Cu
5 5
direct
0.3217 0.3217 0.0691 Ag
0.6105 0.6105 0.1914 Ag
0.8954 0.8954 0.3001 Ag
0.4932 0.4932 0.5132 Ag
0.7792 0.7792 0.6238 Ag
0.1945 0.1945 0.4070 Cu
0.0722 0.0722 0.7190 Cu
0.4008 0.4008 0.8182 Cu
0.7011 0.7011 0.8782 Cu
0.0312 0.0312 0.9799 Cu

=====

[4]
CuAg2 (PBE, optimized geometry); space-group type = Cm; energy of formation = 0.09 eV/atom; crystal system = monoclinic; calculated total energy = -3.0353 eV per atom
1.0
0.4231 3.4213 3.4851
-3.1562 1.6540 3.3664
3.3773 -7.0555 3.2027
Ag Cu
6 3
direct
0.3340 0.3340 0.1031 Ag
0.6674 0.6674 0.2220 Ag
0.9991 0.9991 0.3343 Ag
0.6707 0.6707 0.5578 Ag
0.9959 0.9959 0.6721 Ag
0.6661 0.6661 0.8880 Ag
0.3350 0.3350 0.4510 Cu
0.3378 0.3378 0.7791 Cu
0.9940 0.9940 0.9927 Cu

=====

[5]
CuAg (PBE, optimized geometry); space-group type = Fd-3m; energy of formation = 0.12 eV/atom; crystal system = cubic; calculated total energy = -3.1463 eV per atom
1.0
-1.4213 1.5223 5.1409
0.0406 5.3629 1.4155
-4.7802 2.6725 0.8793
Ag Cu
4 4
direct
0.1250 0.1250 0.1250 Ag
0.6250 0.1250 0.1250 Ag
0.1250 0.6250 0.1250 Ag
0.1250 0.1250 0.6250 Ag
0.6250 0.6250 0.1250 Cu
0.6250 0.1250 0.6250 Cu
0.1250 0.6250 0.6250 Cu
0.6250 0.6250 0.6250 Cu

=====

[6]
Cu6Ag (PBE, optimized geometry); space-group type = Immm; energy of formation = 0.05 eV/atom; crystal system = orthorhombic; calculated total energy = -3.5434 eV per atom
1.0
4.7903 -7.9542 2.5409
0.6787 -9.4796 1.5328
-1.4973 8.6661 -3.9153
Ag Cu
1 6
direct
0.0000 0.0000 0.0000 Ag
0.1481 0.1481 0.0000 Cu
0.2839 0.2839 0.0000 Cu
0.4192 0.4192 0.0000 Cu
0.5808 0.5808 0.0000 Cu
0.7161 0.7161 0.0000 Cu
0.8519 0.8519 0.0000 Cu

=====

[7]
Cu2Ag7 (PBE, optimized geometry); space-group type = C2/m; energy of formation = 0.07 eV/atom; crystal system = monoclinic; calculated total energy = -2.9568 eV per atom
1.0
7.3873 -1.4526 0.0000
7.3873 1.4526 0.0000
-4.7788 0.0000 7.0099
Ag Cu
7 2
direct
0.0000 0.0000 0.0000 Ag
0.3362 0.3362 0.0070 Ag
0.2182 0.2182 0.3338 Ag
0.8929 0.8929 0.3445 Ag
0.1071 0.1071 0.6555 Ag
0.7818 0.7818 0.6662 Ag
0.6638 0.6638 0.9930 Ag
0.5552 0.5552 0.3321 Cu
0.4448 0.4448 0.6679 Cu

=====

[8]
CuAg (PBE, optimized geometry); space-group type = Pm; energy of formation = 0.09 eV/atom; crystal system = monoclinic; calculated total energy = -3.1833 eV per atom
1.0
-2.8261 -2.3210 5.8488
1.9692 -2.0168 0.1512
4.9954 5.1053 3.0368
Ag Cu
5 5
direct
0.4288 0.0000 0.2251 Ag
0.0809 0.5000 0.2684 Ag
0.2077 0.0000 0.5857 Ag
0.5986 0.0000 0.8093 Ag
0.2717 0.5000 0.9138 Ag
0.7123 0.5000 0.1116 Cu
0.8041 0.0000 0.4085 Cu
0.5377 0.5000 0.5144 Cu
0.8980 0.5000 0.6892 Cu
0.9602 0.0000 0.9740 Cu

=====

[9]
Cu3Ag2 (PBE, optimized geometry); space-group type = P2_1/m; energy of formation = 0.09 eV/atom; crystal system = monoclinic; calculated total energy = -3.2746 eV per atom
1.0
-5.9014 -2.9572 1.3818
1.3444 -2.3005 0.8183
1.3403 3.2340 6.8902
Ag Cu
4 6
direct
0.0475 0.2500 0.1630 Ag
0.1793 0.7500 0.4851 Ag
0.8207 0.2500 0.5149 Ag
0.9525 0.7500 0.8370 Ag
0.3600 0.7500 0.0559 Cu
0.7154 0.7500 0.2172 Cu
0.4506 0.2500 0.3382 Cu
0.5494 0.7500 0.6618 Cu
0.2846 0.2500 0.7828 Cu
0.6400 0.2500 0.9441 Cu

=====

[10]
Cu3Ag5 (PBE, optimized geometry); space-group type = Pmm2; energy of formation = 0.08 eV/atom; crystal system = orthorhombic; calculated total energy = -3.0765 eV per atom
1.0
2.8671 0.0000 0.0000
0.0000 3.7883 0.0000
0.0000 0.0000 11.6428
Ag Cu
5 3
direct
0.5000 0.5000 0.1081 Ag
0.0000 0.0000 0.2459 Ag
0.5000 0.5000 0.3835 Ag
0.5000 0.5000 0.6253 Ag
0.0000 0.0000 0.7621 Ag
0.0000 0.0000 0.5043 Cu
0.5000 0.5000 0.8817 Cu
0.0000 0.0000 0.9892 Cu

=====

[11]
Cu3Ag5 (PBE, optimized geometry); space-group type = P2/m; energy of formation = 0.09 eV/atom; crystal system = monoclinic; calculated total energy = -3.0677 eV per atom
1.0
-2.0699 0.2058 5.3553
0.2506 -2.8412 0.2060
8.1493 0.7240 0.0737
Ag Cu
5 3
direct
0.2675 0.5000 0.0092 Ag
0.1111 0.0000 0.2557 Ag
0.5000 0.5000 0.5000 Ag
0.8889 0.0000 0.7443 Ag
0.7326 0.5000 0.9908 Ag
0.6427 0.0000 0.2652 Cu
0.0000 0.5000 0.5000 Cu
0.3573 0.0000 0.7348 Cu

=====

[12]
CuAg (PBE, optimized geometry); space-group type = P1; energy of formation = 0.07 eV/atom; crystal system = triclinic; calculated total energy = -3.2043 eV per atom
1.0
-0.5303 1.9271 1.9738
-3.5800 -0.7711 -0.2061
2.4913 -16.0743 16.4418
Ag Cu
8 8
direct
0.4732 0.5361 0.0331 Ag
0.9595 0.0339 0.1051 Ag
0.4494 0.5314 0.1767 Ag
0.9431 0.0291 0.2480 Ag
0.4399 0.5270 0.3193 Ag
0.9391 0.0256 0.3907 Ag
0.4401 0.5248 0.4622 Ag
0.9433 0.0248 0.5343 Ag
0.4526 0.5263 0.5964 Cu
0.9730 0.0295 0.6494 Cu
0.4981 0.5328 0.7030 Cu
0.0221 0.0357 0.7567 Cu
0.5375 0.5379 0.8105 Cu
0.0370 0.0391 0.8642 Cu
0.5195 0.5390 0.9179 Cu
0.9930 0.0380 0.9709 Cu

=====

[13]
CuAg (PBE, optimized geometry); space-group type = Cm; energy of formation = 0.09 eV/atom; crystal system = monoclinic; calculated total energy = -3.1852 eV per atom
1.0
5.6963 -1.4199 0.0000
5.6963 1.4199 0.0000
-1.3302 0.0000 9.2732
Ag Cu
5 5
direct
0.6889 0.6889 0.0769 Ag
0.3980 0.3980 0.1925 Ag
0.1080 0.1080 0.3063 Ag
0.4919 0.4919 0.5151 Ag
0.2132 0.2132 0.6107 Ag
0.8033 0.8033 0.3998 Cu
0.9082 0.9082 0.7221 Cu
0.5964 0.5964 0.8022 Cu
0.3028 0.3028 0.8920 Cu
0.9893 0.9893 0.9824 Cu

=====

[14]
Cu4Ag5 (PBE, optimized geometry); space-group type = C2/m; energy of formation = 0.08 eV/atom; crystal system = monoclinic; calculated total energy = -3.1408 eV per atom
1.0
-0.7608 4.2043 -2.4188
-2.0398 4.4650 0.0945
10.0173 -0.2871 5.1277
Ag Cu
5 4
direct
0.0000 0.0000 0.0000 Ag
0.3283 0.3283 0.1243 Ag
0.9969 0.9969 0.3583 Ag
0.0031 0.0031 0.6417 Ag
0.6717 0.6717 0.8757 Ag
0.6571 0.6571 0.2340 Cu
0.3054 0.3054 0.4347 Cu
0.6946 0.6946 0.5653 Cu
0.3429 0.3429 0.7660 Cu

=====

[15]
Cu3Ag5 (PBE, optimized geometry); space-group type = Pmmm; energy of formation = 0.07 eV/atom; crystal system = orthorhombic; calculated total energy = -3.0859 eV per atom
1.0
2.8410 0.0000 0.0000
0.0000 3.8257 0.0000
0.0000 0.0000 11.5698
Ag Cu
5 3
direct
0.5000 0.5000 0.0000 Ag
0.0000 0.0000 0.1370 Ag
0.5000 0.5000 0.2732 Ag
0.5000 0.5000 0.7268 Ag
0.0000 0.0000 0.8630 Ag
0.0000 0.0000 0.3937 Cu
0.5000 0.5000 0.5000 Cu
0.0000 0.0000 0.6063 Cu

=====

[16]
CuAg (PBE, optimized geometry); space-group type = P2/m; energy of formation = 0.10 eV/atom; crystal system = monoclinic; calculated total energy = -3.1710 eV per atom
1.0
-1.5551 0.4202 5.9808
3.7440 -0.3215 0.9961
0.6100 6.1701 -0.3015
Ag Cu
5 5
direct
0.0000 0.0000 0.0000 Ag
0.5863 0.0000 0.2080 Ag
0.8992 0.5000 0.3040 Ag
0.1008 0.5000 0.6960 Ag
0.4137 0.0000 0.7920 Ag
0.3037 0.5000 0.1126 Cu
0.2027 0.0000 0.3983 Cu
0.5000 0.5000 0.5000 Cu
0.7973 0.0000 0.6017 Cu
0.6963 0.5000 0.8874 Cu

=====

[17]
Cu5Ag3 (PBE, optimized geometry); space-group type = Cmmm; energy of formation = 0.10 eV/atom; crystal system = orthorhombic; calculated total energy = -3.2830 eV per atom
1.0
-1.1550 4.0480 3.4150
-0.6942 -3.6427 3.9537
3.7130 0.2866 0.9160
Ag Cu
3 5
direct
0.5000 0.5000 0.0000 Ag
0.7595 0.2405 0.5000 Ag
0.2405 0.7595 0.5000 Ag
0.0000 0.0000 0.0000 Cu
0.5000 0.0000 0.0000 Cu
0.0000 0.5000 0.0000 Cu
0.2448 0.2448 0.5000 Cu
0.7552 0.7552 0.5000 Cu

=====

[18]
Cu3Ag2 (PBE, optimized geometry); space-group type = C2/c; energy of formation = 0.09 eV/atom; crystal system = monoclinic; calculated total energy = -3.2651 eV per atom
1.0
2.3134 -6.9907 0.0000
2.3134 6.9907 0.0000
-1.3684 0.0000 4.4412
Ag Cu
4 6
direct
0.8608 0.1392 0.2500 Ag
0.2512 0.7488 0.2500 Ag
0.7488 0.2512 0.7500 Ag
0.1392 0.8608 0.7500 Ag
0.6371 0.3629 0.2500 Cu
0.4585 0.5415 0.2500 Cu
0.0485 0.9515 0.2500 Cu
0.9515 0.0485 0.7500 Cu
0.5415 0.4585 0.7500 Cu
0.3629 0.6371 0.7500 Cu

=====

[19]
Cu3Ag2 (PBE, optimized geometry); space-group type = Pm; energy of formation = 0.08 eV/atom; crystal system = monoclinic; calculated total energy = -3.2761 eV per atom
1.0
-2.8497 1.7403 -5.8566
-0.8039 -2.6398 -0.3933
-5.9570 1.0981 4.8061
Ag Cu
4 6
direct
0.1117 0.0000 0.2668 Ag
0.5113 0.0000 0.5108 Ag
0.1752 0.5000 0.6017 Ag
0.2949 0.0000 0.9249 Ag
0.7101 0.0000 0.1015 Cu
0.4477 0.5000 0.2112 Cu
0.8083 0.5000 0.3910 Cu
0.8737 0.0000 0.6991 Cu
0.6032 0.5000 0.8200 Cu
0.9639 0.5000 0.9729 Cu

=====

[20]
Cu3Ag2 (PBE, optimized geometry); space-group type = Pm; energy of formation = 0.10 eV/atom; crystal system = monoclinic; calculated total energy = -3.2643 eV per atom
1.0
6.6917 0.0000 0.0000
0.0000 2.7860 0.0000
-1.6724 0.0000 7.6767
Ag Cu
4 6
direct
0.4175 0.0000 0.1971 Ag
0.0872 0.5000 0.2867 Ag
0.1998 0.0000 0.6047 Ag
0.5989 0.0000 0.8102 Ag
0.7179 0.5000 0.1065 Cu
0.7938 0.0000 0.4100 Cu
0.5168 0.5000 0.5031 Cu
0.8942 0.5000 0.6969 Cu
0.2800 0.5000 0.9041 Cu
0.9939 0.0000 0.9807 Cu

=====

[21]
Cu3Ag7 (PBE, optimized geometry); space-group type = P2/m; energy of formation = 0.05 eV/atom; crystal system = monoclinic; calculated total energy = -3.0373 eV per atom
1.0
7.0536 0.0000 0.0000
0.0000 2.8739 0.0000
-1.5775 0.0000 7.9658
Ag Cu
7 3
direct
0.9343 0.5000 0.1657 Ag
0.6241 0.0000 0.2821 Ag
0.3107 0.5000 0.3929 Ag
0.0000 0.0000 0.5000 Ag
0.6893 0.5000 0.6071 Ag
0.3759 0.0000 0.7179 Ag
0.0657 0.5000 0.8343 Ag
0.5000 0.5000 0.0000 Cu
0.2486 0.0000 0.1017 Cu
0.7514 0.0000 0.8983 Cu

=====

[22]
Cu4Ag5 (PBE, optimized geometry); space-group type = C2/m; energy of formation = 0.09 eV/atom; crystal system = monoclinic; calculated total energy = -3.1359 eV per atom
1.0
-4.7598 3.3118 1.7536
-4.7326 3.0456 -2.2418
-1.7956 -6.0174 0.3887
Ag Cu
5 4
direct
0.6220 0.6220 0.1693 Ag
0.9349 0.9349 0.1698 Ag
0.5000 0.5000 0.5000 Ag
0.0651 0.0651 0.8302 Ag
0.3780 0.3780 0.8307 Ag
0.2788 0.2788 0.1836 Cu
0.1733 0.1733 0.4939 Cu
0.8267 0.8267 0.5061 Cu
0.7212 0.7212 0.8164 Cu

=====

[23]
Cu3Ag2 (PBE, optimized geometry); space-group type = Pmm2; energy of formation = 0.09 eV/atom; crystal system = orthorhombic; calculated total energy = -3.2703 eV per atom
1.0
2.7616 0.0000 0.0000
0.0000 3.7386 0.0000
0.0000 0.0000 13.8123
Ag Cu
4 6
direct
0.0000 0.0000 0.0832 Ag
0.5000 0.5000 0.2014 Ag
0.5000 0.5000 0.4058 Ag
0.5000 0.5000 0.6102 Ag
0.0000 0.0000 0.3042 Cu
0.0000 0.0000 0.5077 Cu
0.0000 0.0000 0.7132 Cu
0.5000 0.5000 0.8031 Cu
0.0000 0.0000 0.8912 Cu
0.5000 0.5000 0.9802 Cu